No. 1
A plane-wave DFT calculation with GGA-PBE was carried out for an optimized crystal structure of CaAlGa2Pd.

DOS at the Fermi energy = 0.416 states/eV/atom
Energy of formation from the pure elements = -13.8 kcal/mol of atoms
E_tot = -40.0 eV/cell

Cell lengths 4.144, 4.203, 11.284 Å; angles 90.00, 90.00, 90.00 degrees
Sites, in units of the cell vectors:
Ca: 0.000 0.000 0.000
Ca: 0.500 0.500 0.500
Al: 0.000 0.500 0.754
Al: 0.500 0.000 0.254
Ga: 0.000 0.000 0.605
Ga: 0.000 0.500 0.253
Ga: 0.500 0.000 0.753
Ga: 0.500 0.500 0.105
Pd: 0.000 0.000 0.382
Pd: 0.500 0.500 0.882


No. 2
A plane-wave DFT calculation with GGA-PBE was carried out for an optimized crystal structure of Ca2AlGaPd2.

DOS at the Fermi energy = 0.504 states/eV/atom
Energy of formation from the pure elements = -15.9 kcal/mol of atoms
E_tot = -50.6 eV/cell

Cell lengths 8.244, 8.244, 8.244 Å; angles 136.74, 62.90, 136.66 degrees
Sites, in units of the cell vectors:
Ca: 0.172 0.244 0.417
Ca: 0.328 0.744 0.072
Ca: 0.672 0.256 0.928
Ca: 0.828 0.756 0.583
Al: 0.250 0.750 0.500
Al: 0.750 0.250 0.500
Ga: 0.250 0.250 0.000
Ga: 0.750 0.750 0.000
Pd: 0.101 0.742 0.843
Pd: 0.399 0.242 0.641
Pd: 0.601 0.758 0.359
Pd: 0.899 0.258 0.157


No. 3
A plane-wave DFT calculation with GGA-PBE was carried out for an optimized crystal structure of Ca2Al3GaPd4.

DOS at the Fermi energy = 0.332 states/eV/atom
Energy of formation from the pure elements = -17.9 kcal/mol of atoms
E_tot = -46.8 eV/cell

Cell lengths 4.367, 4.367, 10.102 Å; angles 90.00, 90.00, 90.00 degrees
Sites, in units of the cell vectors:
Ca: 0.000 0.500 0.247
Ca: 0.500 0.000 0.753
Al: 0.000 0.500 0.878
Al: 0.500 0.000 0.122
Al: 0.500 0.500 0.500
Ga: 0.000 0.000 0.500
Pd: 0.000 0.000 0.000
Pd: 0.000 0.500 0.633
Pd: 0.500 0.000 0.367
Pd: 0.500 0.500 0.000


No. 4
A plane-wave DFT calculation with GGA-PBE was carried out for an optimized crystal structure of CaPmAl2Ga2.

DOS at the Fermi energy = 0.288 states/eV/atom
Energy of formation from the pure elements = -11.1 kcal/mol of atoms
E_tot = -23.2 eV/cell

Cell lengths 4.421, 4.421, 8.055 Å; angles 90.00, 90.00, 120.00 degrees
Sites, in units of the cell vectors:
Ca: 0.000 0.000 0.000
Pm: 0.000 0.000 0.500
Al: 0.333 0.667 0.740
Al: 0.667 0.333 0.260
Ga: 0.333 0.667 0.259
Ga: 0.667 0.333 0.741


No. 5
A plane-wave DFT calculation with GGA-PBE was carried out for an optimized crystal structure of CaPrAlGa.

DOS at the Fermi energy = 0.703 states/eV/atom
Energy of formation from the pure elements = -8.5 kcal/mol of atoms
E_tot = -60.1 eV/cell

Cell lengths 7.432, 7.432, 7.432 Å; angles 90.00, 90.00, 90.00 degrees
Sites, in units of the cell vectors:
Ca: 0.000 0.000 0.000
Ca: 0.000 0.500 0.500
Ca: 0.500 0.000 0.500
Ca: 0.500 0.500 0.000
Pr: 0.000 0.000 0.500
Pr: 0.000 0.500 0.000
Pr: 0.500 0.000 0.000
Pr: 0.500 0.500 0.500
Al: 0.250 0.250 0.750
Al: 0.250 0.750 0.250
Al: 0.750 0.250 0.250
Al: 0.750 0.750 0.750
Ga: 0.250 0.250 0.250
Ga: 0.250 0.750 0.750
Ga: 0.750 0.250 0.750
Ga: 0.750 0.750 0.250


No. 6
A plane-wave DFT calculation with GGA-PBE was carried out for an optimized crystal structure of Ca2Pr2AlGa4.

DOS at the Fermi energy = 0.730 states/eV/atom
Energy of formation from the pure elements = -5.9 kcal/mol of atoms
E_tot = -31.7 eV/cell

Cell lengths 6.853, 6.853, 6.853 Å; angles 116.09, 116.09, 96.92 degrees
Sites, in units of the cell vectors:
Ca: 0.250 0.750 0.500
Ca: 0.750 0.250 0.500
Pr: 0.183 0.183 0.000
Pr: 0.817 0.817 0.000
Al: 0.500 0.500 0.000
Ga: 0.258 0.258 0.515
Ga: 0.258 0.742 0.000
Ga: 0.742 0.258 0.000
Ga: 0.742 0.742 0.485


No. 7
A plane-wave DFT calculation with GGA-PBE was carried out for an optimized crystal structure of CaAl2GaPt4.

DOS at the Fermi energy = 0.383 states/eV/atom
Energy of formation from the pure elements = -20.0 kcal/mol of atoms
E_tot = -43.6 eV/cell

Cell lengths 9.110, 9.110, 9.110 Å; angles 27.36, 27.36, 27.36 degrees
Sites, in units of the cell vectors:
Ca: 0.000 0.000 0.000
Al: 0.244 0.244 0.244
Al: 0.756 0.756 0.756
Ga: 0.500 0.500 0.500
Pt: 0.135 0.135 0.135
Pt: 0.405 0.405 0.405
Pt: 0.595 0.595 0.595
Pt: 0.865 0.865 0.865


No. 8
A plane-wave DFT calculation with GGA-PBE was carried out for an optimized crystal structure of CaAlGa2Pt4.

DOS at the Fermi energy = 0.387 states/eV/atom
Energy of formation from the pure elements = -19.3 kcal/mol of atoms
E_tot = -42.6 eV/cell

Cell lengths 9.044, 9.044, 9.044 Å; angles 27.66, 27.66, 27.66 degrees
Sites, in units of the cell vectors:
Ca: 0.000 0.000 0.000
Al: 0.500 0.500 0.500
Ga: 0.250 0.250 0.250
Ga: 0.750 0.750 0.750
Pt: 0.136 0.136 0.136
Pt: 0.406 0.406 0.406
Pt: 0.594 0.594 0.594
Pt: 0.864 0.864 0.864


> energy of formation from the pure elements of number 1 (CaAlGa2Pd)?

-13.8 kcal/mol of atoms